The following is a DFT calculation (PBE-GGA) of an optimized crystal structure of La3Be2SnPt9.

Structure (CIF):
```
data_La3Be2SnPt9
_chemical_formula_sum 'La3 Be2 Sn1 Pt9'
_cell_length_a 5.9447
_cell_length_b 5.9447
_cell_length_c 9.7080
_cell_angle_alpha 90.00
_cell_angle_beta 90.00
_cell_angle_gamma 120.00
_symmetry_space_group_name_H-M 'P -3 m 1'
_symmetry_Int_Tables_number 164
_symmetry_space_group_name_Hall '-P 3 2"'
loop_
_atom_site_label
_atom_site_fract_x
_atom_site_fract_y
_atom_site_fract_z
La1 0.0000 0.0000 0.0000
La2 0.3333 0.6667 0.6756
Be1 0.3333 0.6667 0.1458
Sn1 0.0000 0.0000 0.5000
Pt1 0.0000 0.5000 0.0000
Pt2 0.1642 0.3285 0.2852
```

Output
formation energy = -819.6 meV per atom
size of the total moment = 0.00 μB per cell
crystal system = trigonal



The following is a DFT calculation (PBE-GGA) of an optimized crystal structure of Ca5TbTl6.

Structure (CIF):
```
data_Ca5TbTl6
_chemical_formula_sum 'Ca10 Tb2 Tl12'
_cell_length_a 17.185
_cell_length_b 7.821
_cell_length_c 5.455
_cell_angle_alpha 90.00
_cell_angle_beta 108.07
_cell_angle_gamma 90.00
_symmetry_space_group_name_H-M 'C 1 2/m 1'
_symmetry_Int_Tables_number 12
_symmetry_space_group_name_Hall '-C 2y'
loop_
_atom_site_label
_atom_site_fract_x
_atom_site_fract_y
_atom_site_fract_z
Ca1 0.000 0.000 0.000
Ca2 0.166 0.000 0.665
Ca3 0.171 0.500 0.671
Tb1 0.000 0.500 0.000
Tl1 0.000 0.256 0.500
Tl2 0.164 0.254 0.164
```

Output
formation energy = -427.2 meV per atom
size of the total moment = 0.00 μB per cell
crystal system = monoclinic



The following is a DFT calculation (PBE-GGA) of an optimized crystal structure of MgTiOs2C.

Structure (CIF):
```
data_MgTiOs2C
_chemical_formula_sum 'Mg1 Ti1 Os2 C1'
_cell_length_a 4.618
_cell_length_b 4.618
_cell_length_c 3.719
_cell_angle_alpha 90.00
_cell_angle_beta 90.00
_cell_angle_gamma 90.00
_symmetry_space_group_name_H-M 'P 4/m m m'
_symmetry_Int_Tables_number 123
_symmetry_space_group_name_Hall '-P 4 2'
loop_
_atom_site_label
_atom_site_fract_x
_atom_site_fract_y
_atom_site_fract_z
Mg1 0.000 0.000 0.000
Ti1 0.500 0.500 0.500
Os1 0.000 0.500 0.000
C1 0.000 0.000 0.500
```

Output
formation energy = 2114.4 meV per atom
size of the total moment = 0.00 μB per cell
energy above the most stable polymorph in this dataset = 0 meV per atom
crystal system = tetragonal



Number 2 is which compound? Ca5TbTl6



The lowest formation energy belongs to which entry? La3Be2SnPt9



Which value of formation energy does entry 2 give? -427.2 meV per atom